[1]
# RuRhO

A relaxed structure of RuRhO (PBE, Alexandria).

Summary:
density of states at the Fermi level	0.961	states/eV per atom
formation energy without anion corrections	-58.0	meV per atom
theoretical density	9.66	g cm⁻³
calculated total energy	-87.04	eV per cell

a b c (Å): 2.7463 7.8955 6.9725
angles (deg): 90.00 90.00 90.00
Fractional coordinates of all 12 atoms:
Ru (0.0000, 0.0990, 0.0000)
Ru (0.0000, 0.3103, 0.3246)
Ru (0.5000, 0.6897, 0.8246)
Ru (0.5000, 0.9010, 0.5000)
Rh (0.0000, 0.6066, 0.5230)
Rh (0.0000, 0.6541, 0.1583)
Rh (0.5000, 0.3459, 0.6583)
Rh (0.5000, 0.3934, 0.0230)
O (0.0000, 0.0682, 0.3711)
O (0.0000, 0.1667, 0.7309)
O (0.5000, 0.8333, 0.2309)
O (0.5000, 0.9318, 0.8711)



[2]
# RuRh2O6

A relaxed structure of RuRh2O6 (PBE, Alexandria).

Summary:
density of states at the Fermi level	0.671	states/eV per atom
formation energy without anion corrections	-781.3	meV per atom
theoretical density	6.93	g cm⁻³
calculated total energy	-182.28	eV per cell

a b c (Å): 8.7404 8.7404 4.3744
angles (deg): 90.00 90.00 120.00
Fractional coordinates of all 27 atoms:
Ru (0.0000, 0.0000, 0.0000)
Ru (0.3333, 0.6667, 0.5034)
Ru (0.6667, 0.3333, 0.4966)
Rh (0.0000, 0.3155, 0.5000)
Rh (0.0000, 0.6488, 0.0000)
Rh (0.3155, 0.0000, 0.5000)
Rh (0.3512, 0.3512, 0.0000)
Rh (0.6488, 0.0000, 0.0000)
Rh (0.6845, 0.6845, 0.5000)
O (0.0968, 0.8796, 0.7599)
O (0.1175, 0.5397, 0.7517)
O (0.1204, 0.2172, 0.7599)
O (0.2172, 0.1204, 0.2401)
O (0.2207, 0.7710, 0.2595)
O (0.2290, 0.4497, 0.2595)
O (0.4222, 0.8825, 0.7517)
O (0.4497, 0.2290, 0.7405)
O (0.4603, 0.5778, 0.7517)
O (0.5397, 0.1175, 0.2483)
O (0.5503, 0.7793, 0.2595)
O (0.5778, 0.4603, 0.2483)
O (0.7710, 0.2207, 0.7405)
O (0.7793, 0.5503, 0.7405)
O (0.7828, 0.9032, 0.7599)
O (0.8796, 0.0968, 0.2401)
O (0.8825, 0.4222, 0.2483)
O (0.9032, 0.7828, 0.2401)



[3]
# Ru3RhO

A relaxed structure of Ru3RhO (PBE, Alexandria).

Summary:
density of states at the Fermi level	2.170	states/eV per atom
formation energy without anion corrections	2335.2	meV per atom
theoretical density	6.70	g cm⁻³
calculated total energy	-28.46	eV per cell
offset from the most stable computed form	193.5	kJ per mole of atoms

a b c (Å): 4.7123 4.7123 4.7123
angles (deg): 90.00 90.00 90.00
Fractional coordinates of all 5 atoms:
Ru (0.0000, 0.0000, 0.5000)
Ru (0.0000, 0.5000, 0.0000)
Ru (0.5000, 0.0000, 0.0000)
Rh (0.0000, 0.0000, 0.0000)
O (0.5000, 0.5000, 0.5000)



[4]
# RuRhO2

A relaxed structure of RuRhO2 (PBE, Alexandria).

Summary:
density of states at the Fermi level	1.335	states/eV per atom
formation energy without anion corrections	408.2	meV per atom
theoretical density	9.34	g cm⁻³
calculated total energy	-24.91	eV per cell
offset from the most stable computed form	85.9	kJ per mole of atoms

a b c (Å): 3.9004 3.9004 3.9004
angles (deg): 60.00 60.00 60.00
Fractional coordinates of all 4 atoms:
Ru (0.0000, 0.0000, 0.0000)
Rh (0.5000, 0.5000, 0.5000)
O (0.2500, 0.2500, 0.2500)
O (0.7500, 0.7500, 0.7500)



[5]
# Ru2RhO

A relaxed structure of Ru2RhO (PBE, Alexandria).

Summary:
density of states at the Fermi level	1.746	states/eV per atom
formation energy without anion corrections	489.0	meV per atom
theoretical density	8.50	g cm⁻³
calculated total energy	-57.81	eV per cell

a b c (Å): 6.7680 6.7680 6.7680
angles (deg): 140.29 140.29 57.41
Fractional coordinates of all 8 atoms:
Ru (0.0172, 0.6250, 0.8922)
Ru (0.3750, 0.2672, 0.3922)
Ru (0.7328, 0.1250, 0.1078)
Ru (0.8750, 0.9828, 0.6078)
Rh (0.2500, 0.7500, 0.5000)
Rh (0.5000, 0.5000, 0.0000)
O (0.0000, 0.0000, 0.0000)
O (0.7500, 0.2500, 0.5000)



[6]
# RuRh2O

A relaxed structure of RuRh2O (PBE, Alexandria).

Summary:
density of states at the Fermi level	1.054	states/eV per atom
formation energy without anion corrections	414.8	meV per atom
theoretical density	10.20	g cm⁻³
calculated total energy	-54.56	eV per cell

a b c (Å): 5.2177 5.2177 5.2177
angles (deg): 103.46 103.46 122.31
Fractional coordinates of all 8 atoms:
Ru (0.0000, 0.0000, 0.0000)
Ru (0.7500, 0.2500, 0.5000)
Rh (0.1790, 0.6250, 0.0540)
Rh (0.3750, 0.4290, 0.5540)
Rh (0.5710, 0.1250, 0.9460)
Rh (0.8750, 0.8210, 0.4460)
O (0.2500, 0.7500, 0.5000)
O (0.5000, 0.5000, 0.0000)



[7]
# Ru2RhO8

A relaxed structure of Ru2RhO8 (PBE, Alexandria).

Summary:
density of states at the Fermi level	0.181	states/eV per atom
formation energy without anion corrections	-621.8	meV per atom
theoretical density	3.62	g cm⁻³
calculated total energy	-72.41	eV per cell

a b c (Å): 6.4851 6.4851 5.1844
angles (deg): 107.37 107.37 83.03
Fractional coordinates of all 11 atoms:
Ru (0.2272, 0.2272, 0.0941)
Ru (0.7728, 0.7728, 0.9059)
Rh (0.0000, 0.0000, 0.5000)
O (0.0222, 0.7362, 0.1720)
O (0.1756, 0.1756, 0.3877)
O (0.2638, 0.9778, 0.8280)
O (0.4132, 0.4132, 0.1610)
O (0.5868, 0.5868, 0.8390)
O (0.7362, 0.0222, 0.1720)
O (0.8244, 0.8244, 0.6123)
O (0.9778, 0.2638, 0.8280)



[8]
# RuRh3O

A relaxed structure of RuRh3O (PBE, Alexandria).

Summary:
density of states at the Fermi level	1.889	states/eV per atom
formation energy without anion corrections	467.1	meV per atom
theoretical density	10.26	g cm⁻³
calculated total energy	-33.95	eV per cell
offset from the most stable computed form	0.0	kJ per mole of atoms

a b c (Å): 4.0998 4.0998 4.0998
angles (deg): 90.00 90.00 90.00
Fractional coordinates of all 5 atoms:
Ru (0.0000, 0.0000, 0.0000)
Rh (0.0000, 0.5000, 0.5000)
Rh (0.5000, 0.0000, 0.5000)
Rh (0.5000, 0.5000, 0.0000)
O (0.5000, 0.5000, 0.5000)



[9]
# RuRhO2

A relaxed structure of RuRhO2 (PBE, Alexandria).

Summary:
density of states at the Fermi level	0.974	states/eV per atom
formation energy without anion corrections	-481.8	meV per atom
theoretical density	8.83	g cm⁻³
calculated total energy	-28.47	eV per cell
offset from the most stable computed form	0.0	kJ per mole of atoms

a b c (Å): 6.7733 6.7733 6.7733
angles (deg): 23.78 23.78 23.78
Fractional coordinates of all 4 atoms:
Ru (0.0000, 0.0000, 0.0000)
Rh (0.5000, 0.5000, 0.5000)
O (0.3989, 0.3989, 0.3989)
O (0.6011, 0.6011, 0.6011)



[10]
# RuRh2O4

A relaxed structure of RuRh2O4 (PBE, Alexandria).

Summary:
density of states at the Fermi level	0.990	states/eV per atom
formation energy without anion corrections	45.1	meV per atom
theoretical density	6.93	g cm⁻³
calculated total energy	-43.50	eV per cell

a b c (Å): 5.7957 5.7957 5.7957
angles (deg): 137.16 137.16 62.18
Fractional coordinates of all 7 atoms:
Ru (0.0000, 0.0000, 0.0000)
Rh (0.3797, 0.3797, 0.0000)
Rh (0.6203, 0.6203, 0.0000)
O (0.0000, 0.5000, 0.5000)
O (0.1862, 0.1862, 0.0000)
O (0.5000, 0.0000, 0.5000)
O (0.8138, 0.8138, 0.0000)



[11]
# RuRhO2

A relaxed structure of RuRhO2 (PBE, Alexandria).

Summary:
density of states at the Fermi level	0.983	states/eV per atom
formation energy without anion corrections	-17.8	meV per atom
theoretical density	7.45	g cm⁻³
calculated total energy	-53.23	eV per cell
offset from the most stable computed form	44.8	kJ per mole of atoms

a b c (Å): 5.6101 5.6101 5.6101
angles (deg): 128.51 128.51 75.79
Fractional coordinates of all 8 atoms:
Ru (0.0000, 0.0000, 0.0000)
Ru (0.7500, 0.2500, 0.5000)
Rh (0.2500, 0.7500, 0.5000)
Rh (0.5000, 0.5000, 0.0000)
O (0.1018, 0.6250, 0.9768)
O (0.3750, 0.3518, 0.4768)
O (0.6482, 0.1250, 0.0232)
O (0.8750, 0.8982, 0.5232)



[12]
# Ru2RhO6

A relaxed structure of Ru2RhO6 (PBE, Alexandria).

Summary:
density of states at the Fermi level	0.701	states/eV per atom
formation energy without anion corrections	-866.4	meV per atom
theoretical density	6.97	g cm⁻³
calculated total energy	-190.35	eV per cell

a b c (Å): 8.7314 8.7314 4.3439
angles (deg): 90.00 90.00 120.00
Fractional coordinates of all 27 atoms:
Ru (0.0000, 0.3489, 0.0000)
Ru (0.0000, 0.6830, 0.5000)
Ru (0.3170, 0.3170, 0.5000)
Ru (0.3489, 0.0000, 0.0000)
Ru (0.6511, 0.6511, 0.0000)
Ru (0.6830, 0.0000, 0.5000)
Rh (0.0000, 0.0000, 0.0000)
Rh (0.3333, 0.6667, 0.4968)
Rh (0.6667, 0.3333, 0.5032)
O (0.1063, 0.2260, 0.2401)
O (0.1084, 0.5695, 0.2485)
O (0.1197, 0.8937, 0.2401)
O (0.2116, 0.4394, 0.7402)
O (0.2260, 0.1063, 0.7599)
O (0.2278, 0.7884, 0.7402)
O (0.4305, 0.5389, 0.2485)
O (0.4394, 0.2116, 0.2598)
O (0.4611, 0.8916, 0.2485)
O (0.5389, 0.4305, 0.7515)
O (0.5606, 0.7722, 0.7402)
O (0.5695, 0.1084, 0.7515)
O (0.7722, 0.5606, 0.2598)
O (0.7740, 0.8803, 0.2401)
O (0.7884, 0.2278, 0.2598)
O (0.8803, 0.7740, 0.7599)
O (0.8916, 0.4611, 0.7515)
O (0.8937, 0.1197, 0.7599)